(1)
This record from Alexandria describes an optimized crystal structure of Li2AcMgGe2. The functional is PBE.

Unit cell a=4.491 b=4.491 c=7.375 alpha=90.00 beta=90.00 gamma=120.00
Sites, in units of the cell vectors:
Li 0.333 0.667 0.150
Li 0.667 0.333 0.850
Ac 0.000 0.000 0.500
Mg 0.000 0.000 0.000
Ge 0.333 0.667 0.772
Ge 0.667 0.333 0.228

Results
ρ: 5.29 g/cm³
V: 21.47 Å³ per atom
Formation energy from the elements: -11.43 kcal/mol of atoms


(2)
This record from Alexandria describes an optimized crystal structure of Y2HgPd5. The functional is PBE.

Unit cell a=5.878 b=5.878 c=5.878 alpha=118.16 beta=118.16 gamma=93.21
Sites, in units of the cell vectors:
Y 0.000 0.500 0.500
Y 0.500 0.000 0.500
Hg 0.000 0.000 0.000
Pd 0.000 0.000 0.500
Pd 0.000 0.500 0.000
Pd 0.500 0.000 0.000
Pd 0.500 0.500 0.000
Pd 0.500 0.500 0.500

Results
ρ: 10.26 g/cm³
V: 18.42 Å³ per atom
Formation energy from the elements: -17.39 kcal/mol of atoms


(3)
This record from Alexandria describes an optimized crystal structure of HfTaTiVGa. The functional is PBE.

Unit cell a=2.933 b=4.967 c=6.307 alpha=97.29 beta=99.78 gamma=104.22
Sites, in units of the cell vectors:
Hf 0.000 0.000 0.000
Ta 0.477 0.560 0.236
Ti 0.865 0.168 0.456
V 0.601 0.404 0.809
Ga 0.223 0.760 0.616

Results
ρ: 10.15 g/cm³
V: 17.28 Å³ per atom
Formation energy from the elements: -1.25 kcal/mol of atoms
E above lowest polymorph: 0.136 eV/atom


(4)
This record from Alexandria describes an optimized crystal structure of K2RbIBr. The functional is PBE.

Unit cell a=6.369 b=6.369 c=6.837 alpha=90.00 beta=90.00 gamma=90.00
Sites, in units of the cell vectors:
K 0.000 0.500 0.000
K 0.500 0.000 0.000
Rb 0.000 0.000 0.500
I 0.500 0.500 0.500
Br 0.000 0.000 0.000

Results
ρ: 2.22 g/cm³
V: 55.46 Å³ per atom
Formation energy (no corrections): -1.076 eV per atom


(5)
This record from Alexandria describes an optimized crystal structure of NaPu2Hg9. The functional is PBE.

Unit cell a=4.690 b=4.690 c=14.036 alpha=90.00 beta=90.00 gamma=90.00
Sites, in units of the cell vectors:
Na 0.000 0.000 0.000
Pu 0.000 0.000 0.330
Pu 0.000 0.000 0.670
Hg 0.000 0.500 0.166
Hg 0.000 0.500 0.500
Hg 0.000 0.500 0.834
Hg 0.500 0.000 0.166
Hg 0.500 0.000 0.500
Hg 0.500 0.000 0.834
Hg 0.500 0.500 0.000
Hg 0.500 0.500 0.335
Hg 0.500 0.500 0.665

Results
ρ: 12.46 g/cm³
V: 25.73 Å³ per atom
Formation energy from the elements: -3.22 kcal/mol of atoms


(6)
This record from Alexandria describes an optimized crystal structure of CdPd3S. The functional is PBE.

Unit cell a=4.651 b=5.829 c=6.665 alpha=90.00 beta=105.68 gamma=90.00
Sites, in units of the cell vectors:
Cd 0.203 0.250 0.384
Cd 0.797 0.750 0.616
Pd 0.202 0.750 0.377
Pd 0.370 0.504 0.777
Pd 0.370 0.996 0.777
Pd 0.630 0.004 0.223
Pd 0.630 0.496 0.223
Pd 0.798 0.250 0.623
S 0.252 0.750 0.032
S 0.748 0.250 0.968

Results
ρ: 8.85 g/cm³
V: 17.39 Å³ per atom
Formation energy (no corrections): -0.281 eV per atom
E above lowest polymorph: 0.014 eV/atom


- Which of these has the lowest ρ?
  K2RbIBr